This record from the Alexandria database describes a relaxed structure of Cs2H2Cl2O. The functional is PBE.

Structure (CIF):
```
data_Cs2H2Cl2O
_cell_length_a 4.417
_cell_length_b 5.625
_cell_length_c 8.904
_cell_angle_alpha 89.51
_cell_angle_beta 79.55
_cell_angle_gamma 89.74
_space_group_name_H-M_alt 'P 1'
_space_group_IT_number 1
loop_
_space_group_symop_operation_xyz
'x,y,z'
loop_
_atom_site_label
_atom_site_fract_x
_atom_site_fract_y
_atom_site_fract_z
Cs1 0.065 0.267 0.326
Cs2 0.935 0.733 0.674
H1 0.487 0.461 0.967
H2 0.513 0.539 0.033
Cl1 0.430 0.244 0.680
Cl2 0.570 0.756 0.320
O1 0.500 0.500 0.500
```

Summary:
DOS(E_F), states/eV/atom: 0.000
Space group: P-1
Final energy, eV per atom: -3.2954
Theoretical density, g cm⁻³: 2.7